Record 1
Compound: Tm3Rh2Pb
Source: Alexandria
Functional: GGA-PBE
Structure: optimized geometry

Summary:
E_form   -0.79 eV/atom
Calculated total energy   -6.092 eV per atom

Lattice parameters (Å, degrees): 3.3649 3.3649 11.7220 90.00 90.00 90.00
Closest atoms and distances in Å follow each position.
Space group P4/mmm (No. 123)
Inequivalent atoms, fractional coordinates:
Tm 0.0000 0.0000 0.0000 [1 per cell]  8 Rh 2.96
Tm 0.0000 0.0000 0.2910 [2 per cell]  4 Rh 2.90
Rh 0.5000 0.5000 0.1502 [2 per cell]  8 Tm 2.90-2.96
Pb 0.5000 0.5000 0.5000 [1 per cell]  4 Pb 3.36, 8 Tm 3.42



Record 2
Compound: LaInPt
Source: Alexandria
Functional: GGA-PBE
Structure: optimized geometry

Summary:
E_form   -0.70 eV/atom
Calculated total energy   -5.267 eV per atom

Lattice parameters (Å, degrees): 3.5167 3.5167 11.7446 90.00 90.00 90.00
Closest atoms and distances in Å follow each position.
Space group I4mm (No. 107)
Inequivalent atoms, fractional coordinates:
La 0.0000 0.0000 0.0000 [2 per cell]  4 Pt 3.11, 1 In 3.37
In 0.0000 0.0000 0.7127 [2 per cell]  4 Pt 2.91
Pt 0.0000 0.0000 0.3416 [2 per cell]  4 In 2.91, 4 La 3.11



Record 3
Compound: Sn2BiPb9
Source: Alexandria
Functional: GGA-PBE
Structure: optimized geometry

Summary:
E_form   0.04 eV/atom
Calculated total energy   -3.735 eV per atom

Lattice parameters (Å, degrees): 5.9782 5.9782 10.4810 90.00 90.00 90.00
Closest atoms and distances in Å follow each position.
Space group P4/mmm (No. 123)
Inequivalent atoms, fractional coordinates:
Sn 0.0000 0.0000 0.1572 [2 per cell]  1 Sn 3.30, 8 Pb 3.41-3.51, 1 Bi 3.59
Bi 0.0000 0.0000 0.5000 [1 per cell]  8 Pb 3.47, 2 Sn 3.59
Pb 0.0000 0.5000 0.0000 [2 per cell]  4 Sn 3.41, 6 Pb 3.47-3.48
Pb 0.0000 0.5000 0.3321 [4 per cell]  6 Pb 3.45-3.52, 2 Bi 3.47, 2 Sn 3.51
Pb 0.5000 0.5000 0.1678 [2 per cell]  10 Pb 3.45-3.52
Pb 0.5000 0.5000 0.5000 [1 per cell]  10 Pb 3.47-3.48



Record 4
Compound: CdAg5Au6
Source: Alexandria
Functional: GGA-PBE
Structure: optimized geometry

Summary:
E_form   -0.07 eV/atom
Calculated total energy   -2.976 eV per atom
Offset from the most stable computed form   0 meV/atom

Lattice parameters (Å, degrees): 5.0847 5.9835 7.1651 90.00 91.25 90.00
Closest atoms and distances in Å follow each position.
Space group P2/m (No. 10)
Inequivalent atoms, fractional coordinates:
Cd 0.0000 0.0000 0.0000 [1 per cell]  4 Ag 2.91-2.99, 8 Au 2.95-2.96
Ag 0.0000 0.5000 0.0000 [1 per cell]  2 Ag 2.90, 8 Au 2.95-2.96, 2 Cd 2.99
Ag 0.3350 0.0000 0.3351 [2 per cell]  3 Ag 2.87-2.99, 1 Cd 2.91, 8 Au 2.95-2.97
Ag 0.3347 0.5000 0.3330 [2 per cell]  4 Ag 2.89-2.99, 8 Au 2.94-2.96
Au 0.1656 0.2512 0.6659 [4 per cell]  4 Au 2.88-3.01, 7 Ag 2.94-2.96, 1 Cd 2.96
Au 0.5000 0.2513 0.0000 [2 per cell]  4 Au 2.91-3.01, 6 Ag 2.95-2.97, 2 Cd 2.95